[1]
This record from Alexandria via LeMat-Bulk describes VCuSi after structural relaxation. The functional is GGA-PBE.

## Properties
total energy	-0.45934	Ry/atom
energy relative to the elements, uncorrected	-37	meV/atom
magnetic moment	0.0000	μB per atom

Cell: 4.0563 4.0563 17.4418 Å, 90.00 90.00 120.00°
With the nearest neighbours (Å) after each atom.
Space group R-3m (No. 166, hexagonal axes)
Symmetry-distinct sites (fractional):
V1 0.0000 0.0000 0.1455 (multiplicity 6)  3 V 2.46, 3 Si 2.49, 1 Cu 2.57
Cu1 0.0000 0.0000 0.2930 (multiplicity 6)  4 Si 2.38-2.54, 1 V 2.57
Si1 0.0000 0.0000 0.4296 (multiplicity 6)  4 Cu 2.38-2.54, 1 Si 2.46, 3 V 2.49



[2]
This record from Alexandria via LeMat-Bulk describes V2CuSi after structural relaxation. The functional is GGA-PBE.

## Properties
total energy	-0.52770	Ry/atom
energy relative to the elements, uncorrected	-241	meV/atom
magnetic moment	0.0000	μB per atom

Cell: 3.5801 3.5801 3.9580 Å, 90.00 90.00 90.00°
With the nearest neighbours (Å) after each atom.
Space group P4/mmm (No. 123)
Symmetry-distinct sites (fractional):
V1 0.0000 0.5000 0.0000 (multiplicity 2)  4 V 2.53, 4 Si 2.67, 4 Cu 2.67
Cu1 0.0000 0.0000 0.5000 (multiplicity 1)  4 Si 2.53, 8 V 2.67
Si1 0.5000 0.5000 0.5000 (multiplicity 1)  4 Cu 2.53, 8 V 2.67



[3]
This record from Alexandria via LeMat-Bulk describes CuSiW2 after structural relaxation. The functional is GGA-PBE.

## Properties
total energy	-0.63457	Ry/atom
energy relative to the elements, uncorrected	223	meV/atom
magnetic moment	0.0000	μB per atom

Cell: 3.2694 4.1460 4.2505 Å, 90.00 90.00 90.00°
With the nearest neighbours (Å) after each atom.
Space group Pmmm (No. 47)
Symmetry-distinct sites (fractional):
Cu1 0.0000 0.0000 0.0000 (multiplicity 1)  4 W 2.64, 4 Si 2.68
Si1 0.5000 0.0000 0.5000 (multiplicity 1)  4 W 2.64, 4 Cu 2.68
W1 0.0000 0.5000 0.5000 (multiplicity 1)  4 Si 2.64, 4 W 2.68
W2 0.5000 0.5000 0.0000 (multiplicity 1)  4 Cu 2.64, 4 W 2.68